# PrInPt4 meta-GGA SCAN PBEsol geometry
# Final energy = -60.476 eV per atom
data_PrInPt4
_chemical_formula_sum 'Pr4 In4 Pt16'
_cell_length_a 7.6082
_cell_length_b 7.6082
_cell_length_c 7.6082
_cell_angle_alpha 90.00
_cell_angle_beta 90.00
_cell_angle_gamma 90.00
_space_group_name_H-M_alt 'F -4 3 m'
_space_group_IT_number 216
_space_group_name_Hall 'F -4 2 3'
loop_
_atom_site_label
_atom_site_type_symbol
_atom_site_fract_x
_atom_site_fract_y
_atom_site_fract_z
Pr1 Pr 0.0000 0.0000 0.0000
In1 In 0.2500 0.2500 0.7500
Pt1 Pt 0.1244 0.1244 0.3756